Entry 1:
{"formula": "Na3HoTm2O6", "functional": "PBE-GGA", "state": "optimized geometry", "lattice_angstrom": [[5.853, -0.001, 0.000], [-2.926, 5.069, 0.000], [-0.976, -1.690, 5.567]], "species": ["Na", "Na", "Na", "Ho", "Tm", "Tm", "O", "O", "O", "O", "O", "O"], "frac_coords": [[0.168, 0.832, 0.500], [0.832, 0.168, 0.500], [0.500, 0.500, 0.500], [0.000, 0.000, 0.000], [0.333, 0.667, 0.000], [0.667, 0.333, 0.000], [0.930, 0.594, 0.791], [0.733, 0.733, 0.209], [0.070, 0.406, 0.209], [0.594, 0.930, 0.791], [0.267, 0.267, 0.791], [0.406, 0.070, 0.209]], "rho_g_cm3": 6.71, "space_group": "C2/m (12)", "m_tot_mub_per_atom": 0.00, "formation_energy_uncorrected_ev_per_atom": -2.85, "crystal_system": "monoclinic", "energy_ev_per_atom": -6.79}

---

Entry 2:
{"formula": "Na3In4Hg4", "functional": "PBE-GGA", "state": "optimized geometry", "lattice_angstrom": [[-3.217, -1.280, 0.366], [1.200, -1.672, 4.692], [-5.875, 12.541, 8.764]], "species": ["Na", "Na", "Na", "In", "In", "In", "In", "Hg", "Hg", "Hg", "Hg"], "frac_coords": [[0.138, 0.638, 0.726], [0.862, 0.362, 0.274], [0.000, 0.000, 0.000], [0.590, 0.091, 0.820], [0.269, 0.269, 0.462], [0.731, 0.731, 0.538], [0.410, 0.909, 0.180], [0.549, 0.547, 0.908], [0.451, 0.453, 0.092], [0.319, 0.819, 0.361], [0.681, 0.181, 0.639]], "rho_g_cm3": 7.70, "space_group": "P-1 (2)", "m_tot_mub_per_atom": 0.00, "crystal_system": "triclinic", "energy_ev_per_atom": -1.62, "polymorph_energy_mev_per_atom": 0, "formation_enthalpy_0k_mev_per_atom": -152.7}

---

Entry 3:
{"formula": "NaAl2ZnAu4", "functional": "PBE-GGA", "state": "optimized geometry", "lattice_angstrom": [[4.557, 0.000, 0.000], [2.279, 3.947, 0.000], [2.279, 1.316, 7.653]], "species": ["Na", "Al", "Al", "Zn", "Au", "Au", "Au", "Au"], "frac_coords": [[0.000, 0.000, 0.000], [0.747, 0.747, 0.758], [0.253, 0.253, 0.242], [0.500, 0.500, 0.500], [0.384, 0.384, 0.847], [0.871, 0.871, 0.388], [0.129, 0.129, 0.612], [0.616, 0.616, 0.153]], "rho_g_cm3": 11.22, "space_group": "R-3m (166)", "m_tot_mub_per_atom": 0.00, "crystal_system": "trigonal", "energy_ev_per_atom": -3.18, "formation_enthalpy_0k_mev_per_atom": -277.3}

---

Entry 4:
{"formula": "FeCo2PdN", "functional": "PBE-GGA", "state": "optimized geometry", "lattice_angstrom": [[-2.733, -2.526, -0.753], [1.850, -1.065, -3.140], [1.917, -2.682, 2.038]], "species": ["Co", "Co", "Fe", "Pd", "N"], "frac_coords": [[0.000, 0.500, 0.000], [0.500, 0.000, 0.000], [0.000, 0.000, 0.500], [0.500, 0.500, 0.500], [0.000, 0.000, 0.000]], "rho_g_cm3": 8.74, "space_group": "P4/mmm (123)", "m_tot_mub_per_atom": 1.23, "formation_energy_uncorrected_ev_per_atom": -0.06, "crystal_system": "tetragonal", "energy_ev_per_atom": -7.30}

---

Entry 5:
{"formula": "MnCu2Pt", "functional": "PBE-GGA", "state": "optimized geometry", "lattice_angstrom": [[-3.696, -1.914, 2.014], [0.364, -4.606, -0.169], [2.941, 3.277, 1.429]], "species": ["Mn", "Pt", "Cu", "Cu"], "frac_coords": [[0.500, 0.500, 0.000], [0.250, 0.750, 0.500], [0.000, 0.000, 0.000], [0.750, 0.250, 0.500]], "rho_g_cm3": 11.61, "space_group": "F222 (22)", "m_tot_mub_per_atom": 1.03, "crystal_system": "orthorhombic", "energy_ev_per_atom": -6.03, "formation_enthalpy_0k_mev_per_atom": -183.2}

---

Entry 6:
{"formula": "RbPrCu2Br8", "functional": "PBE-GGA", "state": "optimized geometry", "lattice_angstrom": [[-4.958, -1.834, -4.543], [-3.338, -3.467, 5.042], [0.088, 9.173, 1.548]], "species": ["Rb", "Pr", "Cu", "Cu", "Br", "Br", "Br", "Br", "Br", "Br", "Br", "Br"], "frac_coords": [[0.000, 0.000, 0.000], [0.750, 0.250, 0.500], [0.500, 0.500, 0.000], [0.250, 0.750, 0.500], [0.706, 0.851, 0.172], [0.466, 0.321, 0.172], [0.585, 0.650, 0.623], [0.038, 0.973, 0.623], [0.027, 0.415, 0.377], [0.350, 0.962, 0.377], [0.149, 0.534, 0.828], [0.679, 0.294, 0.828]], "rho_g_cm3": 4.30, "space_group": "I-4 (82)", "m_tot_mub_per_atom": 0.15, "formation_energy_uncorrected_ev_per_atom": -0.98, "crystal_system": "tetragonal", "energy_ev_per_atom": -3.25}

---

Entry 7:
{"formula": "Lu3Mg2CrS8", "functional": "PBE-GGA", "state": "optimized geometry", "lattice_angstrom": [[-4.825, -5.815, -1.334], [2.338, -6.114, -3.870], [0.990, -6.709, 3.590]], "species": ["Lu", "Lu", "Lu", "Mg", "Mg", "Cr", "S", "S", "S", "S", "S", "S", "S", "S"], "frac_coords": [[0.500, 0.500, 0.500], [0.500, 0.500, 0.000], [0.000, 0.500, 0.500], [0.874, 0.877, 0.874], [0.126, 0.123, 0.126], [0.500, 0.000, 0.500], [0.731, 0.764, 0.731], [0.269, 0.236, 0.726], [0.256, 0.732, 0.256], [0.726, 0.236, 0.269], [0.744, 0.268, 0.744], [0.274, 0.764, 0.731], [0.269, 0.236, 0.269], [0.731, 0.764, 0.274]], "rho_g_cm3": 4.65, "space_group": "R-3m (166)", "m_tot_mub_per_atom": 0.21, "formation_energy_uncorrected_ev_per_atom": -1.62, "crystal_system": "trigonal", "energy_ev_per_atom": -5.86}

---

Entry 8:
{"formula": "HgPtAu2", "functional": "PBE-GGA", "state": "optimized geometry", "lattice_angstrom": [[2.990, 0.000, 0.000], [0.000, 4.973, -0.039], [0.000, 3.247, 4.866]], "species": ["Au", "Au", "Hg", "Pt"], "frac_coords": [[0.000, 0.000, 0.000], [0.500, 0.500, 0.000], [0.500, 0.500, 0.500], [0.000, 0.000, 0.500]], "rho_g_cm3": 18.03, "space_group": "P2/m (10)", "m_tot_mub_per_atom": 0.00, "crystal_system": "monoclinic", "energy_ev_per_atom": -3.18, "formation_enthalpy_0k_mev_per_atom": 40.6}

---

Entry 9:
{"formula": "MgCdIn2Sn", "functional": "PBE-GGA", "state": "optimized geometry", "lattice_angstrom": [[-0.393, 4.176, 0.993], [-4.291, -0.404, -0.001], [2.495, -3.533, 6.490]], "species": ["Mg", "Cd", "In", "In", "Sn"], "frac_coords": [[0.908, 0.908, 0.815], [0.100, 0.100, 0.200], [0.756, 0.256, 0.513], [0.256, 0.756, 0.513], [0.480, 0.480, 0.960]], "rho_g_cm3": 6.04, "space_group": "I4mm (107)", "m_tot_mub_per_atom": 0.00, "crystal_system": "tetragonal", "energy_ev_per_atom": -2.31, "formation_enthalpy_0k_mev_per_atom": 90.8}

---

Entry 10:
{"formula": "PmTmCuRu", "functional": "PBE-GGA", "state": "optimized geometry", "lattice_angstrom": [[-3.124, -0.402, -1.368], [1.322, -2.048, -2.419], [-1.094, -5.609, 4.149]], "species": ["Pm", "Tm", "Cu", "Ru"], "frac_coords": [[0.000, 0.000, 0.870], [0.000, 0.000, 0.349], [0.500, 0.500, 0.587], [0.500, 0.500, 0.123]], "rho_g_cm3": 9.54, "space_group": "P4mm (99)", "m_tot_mub_per_atom": 0.00, "crystal_system": "tetragonal", "energy_ev_per_atom": -5.96, "polymorph_energy_mev_per_atom": 0, "formation_enthalpy_0k_mev_per_atom": -307.1}

---

Entry 11:
{"formula": "Y6ZnPd2", "functional": "PBE-GGA", "state": "optimized geometry", "lattice_angstrom": [[7.995, -0.034, -2.910], [-4.251, 6.975, -2.382], [-0.082, 0.034, 8.508]], "species": ["Y", "Y", "Y", "Y", "Y", "Y", "Y", "Y", "Y", "Y", "Y", "Y", "Zn", "Zn", "Pd", "Pd", "Pd", "Pd"], "frac_coords": [[0.541, 0.719, 0.822], [0.459, 0.281, 0.178], [0.102, 0.281, 0.822], [0.898, 0.719, 0.178], [0.810, 0.759, 0.569], [0.190, 0.241, 0.431], [0.190, 0.759, 0.950], [0.810, 0.241, 0.050], [0.702, 0.373, 0.671], [0.298, 0.627, 0.329], [0.298, 0.968, 0.671], [0.702, 0.032, 0.329], [0.000, 0.500, 0.500], [0.000, 0.000, 0.000], [0.500, 0.367, 0.867], [0.500, 0.633, 0.133], [0.658, 0.000, 0.658], [0.342, 0.000, 0.342]], "rho_g_cm3": 5.70, "space_group": "Immm (71)", "m_tot_mub_per_atom": 0.00, "crystal_system": "orthorhombic", "energy_ev_per_atom": -6.09, "formation_enthalpy_0k_mev_per_atom": -485.3}

---

Entry 12:
{"formula": "ZnCd2As", "functional": "PBE-GGA", "state": "optimized geometry", "lattice_angstrom": [[-5.837, -2.101, 1.955], [-2.227, -6.110, -0.142], [4.039, 4.722, 1.921]], "species": ["As", "Cd", "Cd", "Zn"], "frac_coords": [[0.292, 0.792, 0.500], [0.009, 0.009, 0.000], [0.711, 0.211, 0.500], [0.488, 0.488, 0.000]], "rho_g_cm3": 7.18, "space_group": "Imm2 (44)", "m_tot_mub_per_atom": 0.00, "crystal_system": "orthorhombic", "energy_ev_per_atom": -1.83, "polymorph_energy_mev_per_atom": 29, "formation_enthalpy_0k_mev_per_atom": 113.2}

---

Entry 13:
{"formula": "PmZrTcNi", "functional": "PBE-GGA", "state": "optimized geometry", "lattice_angstrom": [[-2.945, -3.742, -0.125], [1.770, -4.420, -0.149], [-0.391, -2.851, 3.796]], "species": ["Ni", "Tc", "Zr", "Pm"], "frac_coords": [[0.250, 0.250, 0.250], [0.750, 0.750, 0.750], [0.500, 0.500, 0.500], [0.000, 0.000, 0.000]], "rho_g_cm3": 8.54, "space_group": "F-43m (216)", "m_tot_mub_per_atom": 0.00, "crystal_system": "cubic", "energy_ev_per_atom": -7.49, "formation_enthalpy_0k_mev_per_atom": -126.3}

---

Entry 14:
{"formula": "La2NdCuS5", "functional": "PBE-GGA", "state": "optimized geometry", "lattice_angstrom": [[4.004, 0.000, 0.000], [-2.002, 8.407, 0.000], [0.000, 0.000, 12.184]], "species": ["La", "La", "La", "La", "Nd", "Nd", "Cu", "Cu", "S", "S", "S", "S", "S", "S", "S", "S", "S", "S"], "frac_coords": [[0.883, 0.766, 0.848], [0.114, 0.229, 0.693], [0.117, 0.234, 0.348], [0.886, 0.771, 0.193], [0.822, 0.644, 0.528], [0.178, 0.356, 0.028], [0.549, 0.098, 0.922], [0.451, 0.902, 0.422], [0.346, 0.692, 0.020], [0.684, 0.367, 0.861], [0.493, 0.986, 0.751], [0.300, 0.600, 0.691], [0.987, 0.974, 0.510], [0.654, 0.308, 0.520], [0.316, 0.633, 0.361], [0.507, 0.014, 0.251], [0.700, 0.400, 0.191], [0.013, 0.026, 0.010]], "rho_g_cm3": 5.23, "space_group": "Cmc2_1 (36)", "m_tot_mub_per_atom": 0.00, "formation_energy_uncorrected_ev_per_atom": -1.82, "crystal_system": "orthorhombic", "energy_ev_per_atom": -6.20}

---

Entry 15:
{"formula": "SiB2Cl", "functional": "PBE-GGA", "state": "optimized geometry", "lattice_angstrom": [[3.047, 0.000, 0.000], [1.318, 3.179, 0.000], [0.145, 0.062, 6.542]], "species": ["Si", "B", "B", "Cl"], "frac_coords": [[0.940, 0.603, 0.375], [0.260, 0.998, 0.476], [0.734, 0.043, 0.610], [0.696, 0.095, 0.876]], "rho_g_cm3": 2.23, "space_group": "P1 (1)", "m_tot_mub_per_atom": 0.00, "formation_energy_uncorrected_ev_per_atom": 0.17, "crystal_system": "triclinic", "energy_ev_per_atom": -4.99, "polymorph_energy_mev_per_atom": 60}

---

Entry 16:
{"formula": "RbMg2BeSn", "functional": "PBE-GGA", "state": "optimized geometry", "lattice_angstrom": [[7.358, 0.000, 0.000], [0.000, 6.987, 0.000], [0.000, 0.000, 7.358]], "species": ["Be", "Mg", "Mg", "Sn", "Rb"], "frac_coords": [[0.500, 0.500, 0.500], [0.000, 0.000, 0.500], [0.500, 0.000, 0.000], [0.000, 0.500, 0.000], [0.000, 0.000, 0.000]], "rho_g_cm3": 1.15, "space_group": "P4/mmm (123)", "m_tot_mub_per_atom": 0.58, "crystal_system": "tetragonal", "energy_ev_per_atom": -0.76, "formation_enthalpy_0k_mev_per_atom": 1617.1}

---

Entry 17:
{"formula": "NaCoPt2S", "functional": "PBE-GGA", "state": "optimized geometry", "lattice_angstrom": [[-1.916, 2.982, 2.927], [-3.728, -1.780, -0.627], [0.799, -2.899, 3.477]], "species": ["Na", "S", "Co", "Pt", "Pt"], "frac_coords": [[0.500, 0.500, 0.500], [0.000, 0.000, 0.000], [0.000, 0.500, 0.000], [0.000, 0.000, 0.500], [0.500, 0.000, 0.000]], "rho_g_cm3": 9.48, "space_group": "P4/mmm (123)", "m_tot_mub_per_atom": 0.35, "formation_energy_uncorrected_ev_per_atom": 0.08, "crystal_system": "tetragonal", "energy_ev_per_atom": -4.85}

---

Entry 18:
{"formula": "SrCa3Be", "functional": "PBE-GGA", "state": "optimized geometry", "lattice_angstrom": [[-4.683, 2.432, -2.377], [2.090, -1.132, -5.277], [-2.682, -5.128, 0.037]], "species": ["Sr", "Ca", "Ca", "Ca", "Be"], "frac_coords": [[0.500, 0.500, 0.500], [0.000, 0.500, 0.000], [0.000, 0.000, 0.500], [0.500, 0.000, 0.000], [0.000, 0.000, 0.000]], "rho_g_cm3": 1.86, "space_group": "Pm-3m (221)", "m_tot_mub_per_atom": 0.00, "crystal_system": "cubic", "energy_ev_per_atom": -2.06, "polymorph_energy_mev_per_atom": 0, "formation_enthalpy_0k_mev_per_atom": 222.6}

---

Entry 19:
{"formula": "SrScSN2", "functional": "PBE-GGA", "state": "optimized geometry", "lattice_angstrom": [[4.231, 0.000, 0.000], [0.000, 4.231, 0.000], [0.000, 0.000, 5.559]], "species": ["Sc", "Sr", "S", "N", "N"], "frac_coords": [[0.500, 0.500, 0.500], [0.000, 0.000, 0.000], [0.000, 0.000, 0.500], [0.000, 0.500, 0.000], [0.500, 0.000, 0.000]], "rho_g_cm3": 3.21, "space_group": "P4/mmm (123)", "m_tot_mub_per_atom": 0.10, "formation_energy_uncorrected_ev_per_atom": 0.92, "crystal_system": "tetragonal", "energy_ev_per_atom": -4.84, "polymorph_energy_mev_per_atom": 1375}

---

Entry 20:
{"formula": "Li5HgAu", "functional": "PBE-GGA", "state": "optimized geometry", "lattice_angstrom": [[-0.049, -3.900, 1.779], [0.451, -1.774, -3.876], [6.902, 0.231, 0.697]], "species": ["Li", "Li", "Li", "Li", "Li", "Hg", "Au"], "frac_coords": [[0.500, 0.000, 0.247], [0.000, 0.500, 0.247], [0.000, 0.000, 0.500], [0.000, 0.500, 0.753], [0.500, 0.000, 0.753], [0.000, 0.000, 0.000], [0.500, 0.500, 0.500]], "rho_g_cm3": 5.63, "space_group": "P4/mmm (123)", "m_tot_mub_per_atom": 0.00, "crystal_system": "tetragonal", "energy_ev_per_atom": -2.18, "polymorph_energy_mev_per_atom": 13, "formation_enthalpy_0k_mev_per_atom": -301.5}